Record 1
The following is a DFT calculation (GGA-PBE) of CeTePdO after structural relaxation.

Structure (POSCAR):
```
CeTePdO
1.0
4.1295 0.0000 0.0000
0.0000 4.1295 0.0000
0.0000 0.0000 9.0679
Ce Te Pd O
2 2 2 2
Direct
0.2500 0.2500 0.1311
0.7500 0.7500 0.8689
0.2500 0.2500 0.6951
0.7500 0.7500 0.3049
0.2500 0.7500 0.5000
0.7500 0.2500 0.5000
0.2500 0.7500 0.0000
0.7500 0.2500 0.0000
```

Values from the calculation:
Magnetic moment in μB per cell: 0.34
Energy relative to the elements, uncorrected in eV per atom: -1.8925


Record 2
The following is a DFT calculation (GGA-PBE) of Hf2Ti7 after structural relaxation.

Structure (POSCAR):
```
Hf2Ti7
1.0
2.8530 1.6472 12.0181
-2.8530 1.6472 12.0181
0.0000 -3.2943 12.0181
Hf Ti
4 14
Direct
0.0556 0.0556 0.0556
0.1485 0.1485 0.1485
0.8515 0.8515 0.8515
0.9444 0.9444 0.9444
0.0000 0.5000 0.5000
0.0947 0.6227 0.6227
0.2781 0.2781 0.2781
0.3773 0.3773 0.9053
0.3773 0.9053 0.3773
0.3915 0.3915 0.3915
0.5000 0.0000 0.5000
0.5000 0.5000 0.0000
0.5000 0.5000 0.5000
0.6085 0.6085 0.6085
0.6227 0.0947 0.6227
0.6227 0.6227 0.0947
0.7219 0.7219 0.7219
0.9053 0.3773 0.3773
```

Values from the calculation:
Calculated formation energy in kJ/mol of atoms: 24.8
Magnetic moment in μB per cell: 1.47


Record 3
The following is a DFT calculation (GGA-PBE) of Mn2AgMo after structural relaxation.

Structure (POSCAR):
```
Mn2AgMo
1.0
-3.4191 3.4191 2.7405
3.4191 -3.4191 2.7405
3.4191 3.4191 -2.7405
Mn Ag Mo
4 2 2
Direct
0.1001 0.6250 0.9751
0.3750 0.3501 0.4751
0.6499 0.1250 0.0249
0.8750 0.8999 0.5249
0.2500 0.7500 0.5000
0.5000 0.5000 0.0000
0.0000 0.0000 0.0000
0.7500 0.2500 0.5000
```

Values from the calculation:
Calculated formation energy in kJ/mol of atoms: 78.5
Magnetic moment in μB per cell: 7.97
ΔE to the lowest computed polymorph in meV/atom: 528


Record 4
The following is a DFT calculation (GGA-PBE) of Si2AgBr2 after structural relaxation.

Structure (POSCAR):
```
Si2AgBr2
1.0
6.6978 0.0000 0.0000
0.0000 6.6978 0.0000
0.0000 0.0000 5.0421
Si Ag Br
4 2 4
Direct
0.1320 0.3680 0.0000
0.3680 0.8680 0.0000
0.6320 0.1320 0.0000
0.8680 0.6320 0.0000
0.0000 0.0000 0.0000
0.5000 0.5000 0.0000
0.1826 0.3174 0.5000
0.3174 0.8174 0.5000
0.6826 0.1826 0.5000
0.8174 0.6826 0.5000
```

Values from the calculation:
Magnetic moment in μB per cell: 0.00
ΔE to the lowest computed polymorph in meV/atom: 0
Energy relative to the elements, uncorrected in eV per atom: 0.1371